{"formula": "Pr2MgGePd6", "functional": "PBE-GGA", "state": "relaxed", "lattice_angstrom": [[5.8644, -2.8002, 0.0000], [5.8644, 2.8002, 0.0000], [-5.0804, 0.0000, 6.0110]], "species": ["Pr", "Pr", "Mg", "Ge", "Pd", "Pd", "Pd", "Pd", "Pd", "Pd"], "fractional_positions": [[0.0008, 0.0008, 0.2528], [0.9992, 0.9992, 0.7472], [0.5000, 0.5000, 0.0000], [0.5000, 0.5000, 0.5000], [0.0088, 0.5053, 0.2055], [0.3243, 0.3243, 0.5760], [0.4947, 0.9912, 0.7945], [0.5053, 0.0088, 0.2055], [0.6757, 0.6757, 0.4240], [0.9912, 0.4947, 0.7945]], "magnetic_moment_mub_per_cell": 0.00, "crystal_system": "monoclinic", "dos_at_fermi_per_ev_atom": 0.451, "e_form_ev_per_atom": -0.62, "e_tot_ev_per_atom": -5.310}